No. 1
A plane-wave DFT calculation with PBE was carried out for a geometry-optimized CrHg2Te structure.

The structure belongs to space group C2/m (No. 12); the cell edges are 14.4932, 3.8739 and 4.0151 Å and the angles 90.00°, 106.02° and 90.00°. The asymmetric unit holds Cr at (0.0000, 0.0000, 0.0000), Hg at (0.2032, 0.5000, 0.2031) and Te at (0.0000, 0.5000, 0.5000).

As for the raw formation energy: 0.17 eV per atom. As for the density: 8.9 g/cm3.

***

No. 2
A plane-wave DFT calculation with PBE was carried out for a geometry-optimized CrHgTe2 structure.

The structure belongs to space group R-3m (No. 166, hexagonal axes); the cell edges are 3.3151, 3.3151 and 37.4697 Å and the angles 90.00°, 90.00° and 120.00°. The asymmetric unit holds Cr at (0.0000, 0.0000, 0.0000), Hg at (0.0000, 0.0000, 0.5000) and Te at (0.0000, 0.0000, 0.0711).

As for the raw formation energy: 0.40 eV per atom. As for the density: 7.1 g/cm3.

***

No. 3
A plane-wave DFT calculation with PBE was carried out for a geometry-optimized CrHgTe2 structure.

The structure belongs to space group Imm2 (No. 44); the cell edges are 3.2893, 3.5697 and 20.4251 Å and the angles 90.00°, 90.00° and 90.00°. The asymmetric unit holds Cr at (0.0000, 0.0000, 0.0000), Hg at (0.0000, 0.5000, 0.7570), Te at (0.0000, 0.0000, 0.4329) and Te at (0.0000, 0.5000, 0.0989).

As for the raw formation energy: 0.00 eV per atom. As for the density: 7.0 g/cm3.

***

No. 4
A plane-wave DFT calculation with PBE was carried out for a geometry-optimized CrHgTe2 structure.

The structure belongs to space group P4/mmm (No. 123); the cell edges are 4.1786, 4.1786 and 6.0430 Å and the angles 90.00°, 90.00° and 90.00°. The asymmetric unit holds Cr at (0.0000, 0.0000, 0.0000), Hg at (0.5000, 0.5000, 0.5000), Te at (0.0000, 0.0000, 0.5000) and Te at (0.5000, 0.5000, 0.0000).

As for the raw formation energy: 0.05 eV per atom. As for the density: 8.0 g/cm3.

***

No. 5
A plane-wave DFT calculation with PBE was carried out for a geometry-optimized CrHg2Te structure.

The structure belongs to space group Amm2 (No. 38); the cell edges are 3.7144, 3.9460 and 14.2482 Å and the angles 90.00°, 90.00° and 90.00°. The asymmetric unit holds Cr at (0.0000, 0.0000, 0.0000), Hg at (0.0000, 0.0000, 0.2151), Hg at (0.5000, 0.0000, 0.8329) and Te at (0.5000, 0.0000, 0.5463).

As for the raw formation energy: 0.11 eV per atom. As for the density: 9.2 g/cm3.

***

No. 6
A plane-wave DFT calculation with PBE was carried out for a geometry-optimized CrHg2Te structure.

The structure belongs to space group Cmmm (No. 65); the cell edges are 4.5562, 4.5710 and 9.3389 Å and the angles 90.00°, 90.00° and 90.00°. The asymmetric unit holds Cr at (0.0000, 0.0000, 0.0000), Hg at (0.0000, 0.5000, 0.2026) and Te at (0.0000, 0.0000, 0.5000).

As for the raw formation energy: 0.35 eV per atom. As for the density: 9.9 g/cm3.

***

No. 7
A plane-wave DFT calculation with PBE was carried out for a geometry-optimized CrHg2Te structure.

The structure belongs to space group P4mm (No. 99); the cell edges are 3.6004, 3.6004 and 8.5256 Å and the angles 90.00°, 90.00° and 90.00°. The asymmetric unit holds Cr at (0.0000, 0.0000, 0.0000), Hg at (0.0000, 0.0000, 0.5511), Hg at (0.5000, 0.5000, 0.2902) and Te at (0.5000, 0.5000, 0.8760).

As for the raw formation energy: 0.16 eV per atom. As for the density: 8.7 g/cm3.

***

No. 8
A plane-wave DFT calculation with PBE was carried out for a geometry-optimized CrHgTe2 structure.

The structure belongs to space group I-4m2 (No. 119); the cell edges are 4.0159, 4.0159 and 16.2530 Å and the angles 90.00°, 90.00° and 90.00°. The asymmetric unit holds Cr at (0.0000, 0.0000, 0.0000), Hg at (0.0000, 0.5000, 0.7500), Te at (0.0000, 0.0000, 0.5000) and Te at (0.0000, 0.5000, 0.2500).

As for the raw formation energy: 0.26 eV per atom. As for the density: 6.4 g/cm3.

***

No. 9
A plane-wave DFT calculation with PBE was carried out for a geometry-optimized CrHgTe2 structure.

The structure belongs to space group R-3m (No. 166, hexagonal axes); the cell edges are 3.4937, 3.4937 and 33.0381 Å and the angles 90.00°, 90.00° and 120.00°. The asymmetric unit holds Cr at (0.0000, 0.0000, 0.0000), Hg at (0.0000, 0.0000, 0.5000) and Te at (0.0000, 0.0000, 0.3850).

As for the raw formation energy: 0.01 eV per atom. As for the density: 7.2 g/cm3.

***

No. 10
A plane-wave DFT calculation with PBE was carried out for a geometry-optimized CrHg2Te structure.

The structure belongs to space group R-3m (No. 166, hexagonal axes); the cell edges are 3.7582, 3.7582 and 24.6335 Å and the angles 90.00°, 90.00° and 120.00°. The asymmetric unit holds Cr at (0.0000, 0.0000, 0.0000), Hg at (0.0000, 0.0000, 0.2574) and Te at (0.0000, 0.0000, 0.5000).

As for the raw formation energy: 0.36 eV per atom. As for the density: 9.6 g/cm3.

***

No. 11
A plane-wave DFT calculation with PBE was carried out for a geometry-optimized CrHgTe2 structure.

The structure belongs to space group Cm (No. 8); the cell edges are 11.4610, 3.9710 and 5.5041 Å and the angles 90.00°, 107.46° and 90.00°. The asymmetric unit holds Cr at (0.0000, 0.0000, 0.0000), Hg at (0.2499, 0.5000, 0.9964), Te at (0.0816, 0.5000, 0.3502) and Te at (0.4121, 0.0000, 0.6545).

As for the raw formation energy: 0.05 eV per atom. As for the density: 7.1 g/cm3.

***

No. 12
A plane-wave DFT calculation with PBE was carried out for a geometry-optimized CrHg2Te structure.

The structure belongs to space group I-4m2 (No. 119); the cell edges are 4.8617, 4.8617 and 8.1653 Å and the angles 90.00°, 90.00° and 90.00°. The asymmetric unit holds Cr at (0.0000, 0.0000, 0.0000), Hg at (0.0000, 0.0000, 0.5000), Hg at (0.0000, 0.5000, 0.7500) and Te at (0.0000, 0.5000, 0.2500).

As for the raw formation energy: 0.32 eV per atom. As for the density: 10.0 g/cm3.

***

Q: Which value of raw formation energy does entry 10 give?
A: 0.36 eV per atom

***

Q: The highest raw formation energy belongs to which entry?
A: number 2

***

What did the tenth record say?
A plane-wave DFT calculation with PBE was carried out for a geometry-optimized CrHg2Te structure.

The structure belongs to space group R-3m (No. 166, hexagonal axes); the cell edges are 3.7582, 3.7582 and 24.6335 Å and the angles 90.00°, 90.00° and 120.00°. The asymmetric unit holds Cr at (0.0000, 0.0000, 0.0000), Hg at (0.0000, 0.0000, 0.2574) and Te at (0.0000, 0.0000, 0.5000).

As for the raw formation energy: 0.36 eV per atom. As for the density: 9.6 g/cm3.